A plane-wave DFT calculation with GGA-PBE was carried out for a geometry-optimized ScAgSb structure.

Cell lengths 3.4322, 3.4322, 6.8733 Å; angles 90.00, 90.00, 120.00 degrees
Space group P3m1 (No. 156)
One atom of each set of equivalent atoms:
1 Sc 0.0000 0.0000 0.0000
2 Ag 0.3333 0.6667 0.3093
3 Sb 0.6667 0.3333 0.6657

## Properties
* ΔE_f (raw): -0.132 eV per atom
* density of states at the Fermi level: 0.59 states/eV per atom

=====

A plane-wave DFT calculation with GGA-PBE was carried out for a geometry-optimized ScAg2Sb structure.

Cell lengths 3.228, 4.130, 6.385 Å; angles 90.00, 90.00, 90.00 degrees
Space group Pmm2 (No. 25)
One atom of each set of equivalent atoms:
1 Sc 0.000 0.000 0.000
2 Ag 0.000 0.000 0.461
3 Ag 0.500 0.500 0.264
4 Sb 0.500 0.500 0.770

## Properties
* ΔE_f (raw): -0.221 eV per atom
* density of states at the Fermi level: 0.56 states/eV per atom

=====

A plane-wave DFT calculation with GGA-PBE was carried out for a geometry-optimized ScAg2Sb structure.

Cell lengths 5.840, 10.894, 3.129 Å; angles 90.00, 121.20, 90.00 degrees
Space group C2/m (No. 12)
One atom of each set of equivalent atoms:
1 Sc 0.000 0.000 0.000
2 Ag 0.250 0.250 0.500
3 Sb 0.000 0.500 0.000

## Properties
* ΔE_f (raw): -0.175 eV per atom
* density of states at the Fermi level: 0.58 states/eV per atom

=====

A plane-wave DFT calculation with GGA-PBE was carried out for a geometry-optimized ScAg3Sb structure.

Cell lengths 5.125, 5.125, 5.125 Å; angles 90.00, 90.00, 90.00 degrees
Space group Pm-3m (No. 221)
One atom of each set of equivalent atoms:
1 Sc 0.000 0.000 0.000
2 Ag 0.000 0.000 0.500
3 Sb 0.500 0.500 0.500

## Properties
* ΔE_f (raw): 0.869 eV per atom
* relative energy among the computed polymorphs: 304.7 meV per atom
* density of states at the Fermi level: 0.89 states/eV per atom

=====

A plane-wave DFT calculation with GGA-PBE was carried out for a geometry-optimized ScAg2Sb structure.

Cell lengths 3.215, 4.291, 6.299 Å; angles 90.00, 104.02, 90.00 degrees
Space group Pm (No. 6)
One atom of each set of equivalent atoms:
1 Sc 0.000 0.000 0.000
2 Ag 0.240 0.000 0.476
3 Ag 0.643 0.500 0.285
4 Sb 0.401 0.500 0.792

## Properties
* ΔE_f (raw): -0.275 eV per atom
* density of states at the Fermi level: 0.40 states/eV per atom

=====

A plane-wave DFT calculation with GGA-PBE was carried out for a geometry-optimized ScAgSb3 structure.

Cell lengths 5.449, 5.449, 5.449 Å; angles 90.00, 90.00, 90.00 degrees
Space group Pm-3m (No. 221)
One atom of each set of equivalent atoms:
1 Sc 0.000 0.000 0.000
2 Ag 0.500 0.500 0.500
3 Sb 0.000 0.000 0.500

## Properties
* ΔE_f (raw): 0.332 eV per atom
* relative energy among the computed polymorphs: 0.0 meV per atom
* density of states at the Fermi level: 0.83 states/eV per atom

=====

A plane-wave DFT calculation with GGA-PBE was carried out for a geometry-optimized Sc3AgSb structure.

Cell lengths 5.324, 5.324, 5.324 Å; angles 90.00, 90.00, 90.00 degrees
Space group Pm-3m (No. 221)
One atom of each set of equivalent atoms:
1 Sc 0.000 0.000 0.500
2 Ag 0.500 0.500 0.500
3 Sb 0.000 0.000 0.000

## Properties
* ΔE_f (raw): 0.283 eV per atom
* relative energy among the computed polymorphs: 229.1 meV per atom
* density of states at the Fermi level: 2.48 states/eV per atom

=====

A plane-wave DFT calculation with GGA-PBE was carried out for a geometry-optimized ScAg2Sb structure.

Cell lengths 4.137, 4.137, 4.815 Å; angles 90.00, 90.00, 90.00 degrees
Space group P4/mmm (No. 123)
One atom of each set of equivalent atoms:
1 Sc 0.000 0.000 0.000
2 Ag 0.000 0.500 0.500
3 Sb 0.500 0.500 0.000

## Properties
* ΔE_f (raw): -0.372 eV per atom
* density of states at the Fermi level: 0.37 states/eV per atom

=====

A plane-wave DFT calculation with GGA-PBE was carried out for a geometry-optimized ScAgSb structure.

Cell lengths 6.665, 6.665, 6.665 Å; angles 90.00, 90.00, 90.00 degrees
Space group F-43m (No. 216)
One atom of each set of equivalent atoms:
1 Sc 0.000 0.000 0.000
2 Ag 0.000 0.000 0.500
3 Sb 0.250 0.250 0.750

## Properties
* ΔE_f (raw): -0.301 eV per atom
* density of states at the Fermi level: 0.88 states/eV per atom

=====

A plane-wave DFT calculation with GGA-PBE was carried out for a geometry-optimized ScAg2Sb structure.

Cell lengths 9.317, 3.303, 5.669 Å; angles 90.00, 99.51, 90.00 degrees
Space group Cm (No. 8)
One atom of each set of equivalent atoms:
1 Sc 0.000 0.000 0.000
2 Ag 0.011 0.500 0.546
3 Ag 0.257 0.000 0.756
4 Sb 0.251 0.500 0.260

## Properties
* ΔE_f (raw): -0.141 eV per atom
* density of states at the Fermi level: 0.47 states/eV per atom

=====

A plane-wave DFT calculation with GGA-PBE was carried out for a geometry-optimized ScAg2Sb structure.

Cell lengths 3.822, 3.822, 5.831 Å; angles 90.00, 90.00, 90.00 degrees
Space group P4/mmm (No. 123)
One atom of each set of equivalent atoms:
1 Sc 0.000 0.000 0.000
2 Ag 0.500 0.500 0.242
3 Sb 0.000 0.000 0.500

## Properties
* ΔE_f (raw): -0.222 eV per atom
* density of states at the Fermi level: 0.51 states/eV per atom

=====

A plane-wave DFT calculation with GGA-PBE was carried out for a geometry-optimized Sc4AgSb structure.

Cell lengths 8.240, 8.240, 8.240 Å; angles 90.00, 90.00, 90.00 degrees
Space group F-43m (No. 216)
One atom of each set of equivalent atoms:
1 Sc 0.125 0.125 0.125
2 Ag 0.250 0.250 0.750
3 Sb 0.000 0.000 0.500

## Properties
* ΔE_f (raw): 0.128 eV per atom
* density of states at the Fermi level: 1.37 states/eV per atom

=====

A plane-wave DFT calculation with GGA-PBE was carried out for a geometry-optimized ScAgSb4 structure.

Cell lengths 8.693, 8.693, 8.693 Å; angles 90.00, 90.00, 90.00 degrees
Space group F-43m (No. 216)
One atom of each set of equivalent atoms:
1 Sc 0.000 0.000 0.000
2 Ag 0.250 0.250 0.750
3 Sb 0.125 0.125 0.375

## Properties
* ΔE_f (raw): 0.249 eV per atom
* density of states at the Fermi level: 0.87 states/eV per atom

=====

A plane-wave DFT calculation with GGA-PBE was carried out for a geometry-optimized ScAg2Sb structure.

Cell lengths 4.080, 4.080, 21.453 Å; angles 90.00, 90.00, 90.00 degrees
Space group I-42d (No. 122)
One atom of each set of equivalent atoms:
1 Sc 0.000 0.000 0.000
2 Ag 0.250 0.250 0.125
3 Sb 0.000 0.000 0.500

## Properties
* ΔE_f (raw): -0.207 eV per atom
* density of states at the Fermi level: 0.55 states/eV per atom

=====

A plane-wave DFT calculation with GGA-PBE was carried out for a geometry-optimized ScAgSb structure.

Cell lengths 8.476, 5.789, 5.833 Å; angles 90.00, 107.64, 90.00 degrees
Space group C2/m (No. 12)
One atom of each set of equivalent atoms:
1 Sc 0.166 0.000 0.319
2 Ag 0.007 0.500 0.742
3 Sb 0.196 0.000 0.819

## Properties
* ΔE_f (raw): -0.382 eV per atom
* density of states at the Fermi level: 0.40 states/eV per atom

=====

A plane-wave DFT calculation with GGA-PBE was carried out for a geometry-optimized ScAg2Sb structure.

Cell lengths 3.3052, 3.3052, 27.7962 Å; angles 90.00, 90.00, 120.00 degrees
Space group R3m (No. 160, hexagonal axes)
One atom of each set of equivalent atoms:
1 Sc 0.0000 0.0000 0.0000
2 Ag 0.0000 0.0000 0.4907
3 Ag 0.0000 0.0000 0.7451
4 Sb 0.0000 0.0000 0.2463

## Properties
* ΔE_f (raw): -0.049 eV per atom
* density of states at the Fermi level: 0.74 states/eV per atom

=====

A plane-wave DFT calculation with GGA-PBE was carried out for a geometry-optimized Sc3AgSb structure.

Cell lengths 5.124, 5.124, 5.124 Å; angles 90.00, 90.00, 90.00 degrees
Space group Pm-3m (No. 221)
One atom of each set of equivalent atoms:
1 Sc 0.000 0.000 0.500
2 Ag 0.000 0.000 0.000
3 Sb 0.500 0.500 0.500

## Properties
* ΔE_f (raw): 0.054 eV per atom
* relative energy among the computed polymorphs: 0.0 meV per atom
* density of states at the Fermi level: 1.07 states/eV per atom

=====

A plane-wave DFT calculation with GGA-PBE was carried out for a geometry-optimized ScAgSb structure.

Cell lengths 4.439, 5.037, 11.973 Å; angles 90.00, 90.00, 90.00 degrees
Space group Fmm2 (No. 42)
One atom of each set of equivalent atoms:
1 Sc 0.000 0.000 0.000
2 Ag 0.000 0.000 0.653
3 Sb 0.000 0.000 0.328

## Properties
* ΔE_f (raw): -0.254 eV per atom
* density of states at the Fermi level: 0.58 states/eV per atom

=====

A plane-wave DFT calculation with GGA-PBE was carried out for a geometry-optimized ScAg3Sb3Se8 structure.

Cell lengths 8.0947, 8.0947, 19.7469 Å; angles 90.00, 90.00, 120.00 degrees
Space group R-3m (No. 166, hexagonal axes)
One atom of each set of equivalent atoms:
1 Sc 0.0000 0.0000 0.0000
2 Ag 0.0000 0.5000 0.5000
3 Sb 0.0000 0.5000 0.0000
4 Se 0.0000 0.0000 0.2470
5 Se 0.0126 0.5063 0.7475

## Properties
* ΔE_f (raw): -0.429 eV per atom
* density of states at the Fermi level: 0.36 states/eV per atom

=====

A plane-wave DFT calculation with GGA-PBE was carried out for a geometry-optimized SmScAgSb structure.

Cell lengths 7.283, 7.283, 7.283 Å; angles 90.00, 90.00, 90.00 degrees
Space group F-43m (No. 216)
One atom of each set of equivalent atoms:
1 Sm 0.000 0.000 0.000
2 Sc 0.000 0.000 0.500
3 Ag 0.250 0.250 0.250
4 Sb 0.250 0.250 0.750

## Properties
* ΔE_f (raw): -0.502 eV per atom
* density of states at the Fermi level: 1.12 states/eV per atom